PBE LaTbTm6, optimized geometry; formation enthalpy at 0 K = 587.6 meV per atom; ΔE to the lowest computed polymorph = 556 meV per atom
1.0
-7.807 0.032 3.721
-6.660 -3.914 -3.888
-3.863 -4.958 1.989
La Tb Tm
1 1 6
Direct
0.000 0.000 0.000 La
0.500 0.500 0.500 Tb
0.844 0.844 0.830 Tm
0.481 0.844 0.830 Tm
0.156 0.519 0.170 Tm
0.519 0.156 0.170 Tm
0.156 0.156 0.170 Tm
0.844 0.481 0.830 Tm

---

PBE La4TbTm5, optimized geometry; formation enthalpy at 0 K = 231.8 meV per atom; ΔE to the lowest computed polymorph = 32 meV per atom
1.0
5.971 0.000 0.000
2.986 7.612 0.000
2.986 0.000 7.612
La Tb Tm
4 1 5
Direct
0.463 0.322 0.678 La
0.785 0.678 0.678 La
0.141 0.322 0.322 La
0.463 0.678 0.322 La
0.203 0.000 0.000 Tb
0.754 0.377 0.000 Tm
0.131 0.000 0.623 Tm
0.754 0.000 0.377 Tm
0.131 0.623 0.000 Tm
0.685 0.000 0.000 Tm

---

PBE La12TbTm7, optimized geometry; formation enthalpy at 0 K = 196.4 meV per atom; ΔE to the lowest computed polymorph = 0 meV per atom
1.0
-2.344 -4.804 -7.031
-6.102 -4.209 4.803
-6.042 6.046 -2.223
La Tb Tm
12 1 7
Direct
0.853 0.266 0.718 La
0.734 0.282 0.147 La
0.608 0.145 0.481 La
0.855 0.519 0.392 La
0.282 0.147 0.734 La
0.519 0.392 0.855 La
0.481 0.608 0.145 La
0.718 0.853 0.266 La
0.145 0.481 0.608 La
0.392 0.855 0.519 La
0.266 0.718 0.853 La
0.147 0.734 0.282 La
0.000 0.000 0.000 Tb
0.859 0.625 0.941 Tm
0.375 0.059 0.141 Tm
0.059 0.141 0.375 Tm
0.500 0.500 0.500 Tm
0.941 0.859 0.625 Tm
0.625 0.941 0.859 Tm
0.141 0.375 0.059 Tm

---

PBE La2TbTm2, optimized geometry; formation enthalpy at 0 K = 508.3 meV per atom; ΔE to the lowest computed polymorph = 265 meV per atom
1.0
9.322 0.000 -5.054
-2.740 8.910 -5.054
-2.016 -2.729 7.405
La Tb Tm
4 2 4
Direct
0.890 0.390 0.000 La
0.110 0.610 0.000 La
0.610 0.890 0.000 La
0.390 0.110 0.000 La
0.750 0.750 0.500 Tb
0.250 0.250 0.500 Tb
0.310 0.810 0.000 Tm
0.690 0.190 0.000 Tm
0.190 0.310 0.000 Tm
0.810 0.690 0.000 Tm

---

PBE LaTb3Tm, optimized geometry; formation enthalpy at 0 K = 22.1 meV per atom; ΔE to the lowest computed polymorph = 0 meV per atom
1.0
-4.745 -4.276 2.287
7.266 -6.374 0.274
-1.905 8.464 3.329
La Tb Tm
2 6 2
Direct
0.370 0.969 0.122 La
0.630 0.031 0.878 La
0.034 0.636 0.284 Tb
0.766 0.567 0.515 Tb
0.569 0.765 0.313 Tb
0.431 0.235 0.687 Tb
0.966 0.364 0.716 Tb
0.234 0.433 0.485 Tb
0.164 0.169 0.916 Tm
0.836 0.831 0.084 Tm

---

PBE La3Tb8Tm3, optimized geometry; formation enthalpy at 0 K = 102.0 meV per atom
1.0
5.577 0.043 1.185
2.681 9.330 0.764
0.997 -3.197 9.144
La Tb Tm
3 8 3
Direct
0.500 0.000 0.000 La
0.000 0.817 0.183 La
0.000 0.183 0.817 La
0.661 0.120 0.557 Tb
0.339 0.880 0.443 Tb
0.661 0.557 0.120 Tb
0.339 0.443 0.880 Tb
0.841 0.761 0.558 Tb
0.159 0.239 0.442 Tb
0.841 0.558 0.761 Tb
0.159 0.442 0.239 Tb
0.500 0.500 0.500 Tm
0.796 0.204 0.204 Tm
0.204 0.796 0.796 Tm